VASP calculation (PBE) on a relaxed CaZnCu2 crystal.

a = 4.626 Å, b = 4.626 Å, c = 9.013 Å
α = 75.13°, β = 75.13°, γ = 90.00°
Fractional positions:
Cu  0.875  0.123  0.750
Cu  0.877  0.625  0.250
Cu  0.375  0.127  0.750
Cu  0.873  0.125  0.250
Ca  0.250  0.750  0.500
Ca  0.500  0.500  0.000
Zn  0.750  0.250  0.500
Zn  0.000  0.000  0.000

Results
M_tot   0.0 μB/cell
Formation energy from the elements   0.18 eV per formula unit

VASP calculation (PBE) on a relaxed BaUTl2I8 crystal.

a = 8.128 Å, b = 7.766 Å, c = 9.956 Å
α = 89.98°, β = 90.01°, γ = 91.42°
Fractional positions:
I  0.136  0.766  0.782
I  0.345  0.259  0.500
I  0.135  0.766  0.218
I  0.686  0.795  0.000
I  0.314  0.205  0.000
I  0.865  0.234  0.782
I  0.864  0.234  0.218
I  0.655  0.741  0.500
U  0.000  0.000  0.000
Ba  0.000  0.000  0.500
Tl  0.500  0.500  0.749
Tl  0.500  0.500  0.251

Results
ΔE_f (raw)   -0.979 eV per atom
M_tot   2.0 μB/cell

VASP calculation (PBE) on a relaxed Mg2GaReP crystal.

a = 4.702 Å, b = 4.808 Å, c = 4.702 Å
α = 90.00°, β = 90.00°, γ = 90.00°
Fractional positions:
Mg  0.000  0.000  0.500
Mg  0.500  0.000  0.000
P  0.000  0.000  0.000
Ga  0.000  0.500  0.000
Re  0.500  0.500  0.500

Results
M_tot   3.0 μB/cell
Formation energy from the elements   4.80 eV per formula unit

- Look up the M_tot of the third one.
  3.0 μB/cell

- M_tot of number 2 (BaUTl2I8)?
  2.0 μB/cell